Here is a relaxed structure of Dy3Ga2Ni7 from Alexandria via LeMat-Bulk. Energies are from PBE-GGA.

The calculation puts the formation energy at -0.5119 eV/atom. The calculation puts the size of the total moment at 0.00 μB/cell. The calculation puts the energy at -5.539 eV per atom.

The space group is R-3m (No. 166, hexagonal axes) and the conventional cell measures 5.1476, 5.1476 and 23.8037 Å, with angles of 90.00, 90.00 and 120.00 degrees. The inequivalent atoms are Dy at (0.0000, 0.0000, 0.0000), Dy at (0.0000, 0.0000, 0.1406), Ga at (0.0000, 0.0000, 0.3323), Ni at (0.0000, 0.0000, 0.5000) and Ni at (0.0026, 0.5013, 0.0825).